Here is crystalline LiBe2Cr at its relaxed geometry from Alexandria via LeMat-Bulk. Energies are from PBE.

CIF file:
```
data_LiBe2Cr
_space_group_name_H-M_alt 'C 1 2/m 1'
_space_group_IT_number 12
_space_group_name_Hall '-C 2y'
_cell_length_a 8.0741
_cell_length_b 2.2046
_cell_length_c 4.9600
_cell_angle_alpha 90.00
_cell_angle_beta 93.06
_cell_angle_gamma 90.00
loop_
_atom_site_label
_atom_site_type_symbol
_atom_site_fract_x
_atom_site_fract_y
_atom_site_fract_z
Li1 Li 0.0000 0.0000 0.0000
Be1 Be 0.2436 0.0000 0.7002
Cr1 Cr 0.0000 0.5000 0.5000
```

Values from the calculation:
DOS(E_F), states/eV per cell: 3.3
Offset from the most stable computed form, meV per atom: 215.7
Calculated density, Mg/m³: 2.90

Here is crystalline LaBeAl2Ir at its relaxed geometry from Alexandria via LeMat-Bulk. Energies are from PBE.

CIF file:
```
data_LaBeAl2Ir
_space_group_name_H-M_alt 'P 4/m m m'
_space_group_IT_number 123
_space_group_name_Hall '-P 4 2'
_cell_length_a 4.7236
_cell_length_b 4.7236
_cell_length_c 4.4641
_cell_angle_alpha 90.00
_cell_angle_beta 90.00
_cell_angle_gamma 90.00
loop_
_atom_site_label
_atom_site_type_symbol
_atom_site_fract_x
_atom_site_fract_y
_atom_site_fract_z
La1 La 0.0000 0.0000 0.0000
Be1 Be 0.5000 0.5000 0.0000
Al1 Al 0.0000 0.5000 0.5000
Ir1 Ir 0.5000 0.5000 0.5000
```

Values from the calculation:
Total DFT energy (no corrections), eV per atom: -5.48
DOS(E_F), states/eV per cell: 0.9
Calculated density, Mg/m³: 6.57

Here is crystalline YBrN3 at its relaxed geometry from Alexandria via LeMat-Bulk. Energies are from PBE.

CIF file:
```
data_YBrN3
_space_group_name_H-M_alt 'P m -3 m'
_space_group_IT_number 221
_space_group_name_Hall '-P 4 2 3'
_cell_length_a 3.9329
_cell_length_b 3.9329
_cell_length_c 3.9329
_cell_angle_alpha 90.00
_cell_angle_beta 90.00
_cell_angle_gamma 90.00
loop_
_atom_site_label
_atom_site_type_symbol
_atom_site_fract_x
_atom_site_fract_y
_atom_site_fract_z
Y1 Y 0.0000 0.0000 0.0000
Br1 Br 0.5000 0.5000 0.5000
N1 N 0.0000 0.5000 0.5000
```

Values from the calculation:
Uncorrected formation energy, eV per formula unit: 5.953
DOS(E_F), states/eV per cell: 2.6
Calculated density, Mg/m³: 5.75

Here is crystalline AgPt2 at its relaxed geometry from Alexandria via LeMat-Bulk. Energies are from PBE.

CIF file:
```
data_AgPt2
_space_group_name_H-M_alt 'I 41/a m d'
_space_group_IT_number 141
_cell_length_a 4.0192
_cell_length_b 4.0192
_cell_length_c 24.0843
_cell_angle_alpha 90.00
_cell_angle_beta 90.00
_cell_angle_gamma 90.00
loop_
_space_group_symop_operation_xyz
'x,y,z'
'-x,-y,-z'
'-y+1/4,x+3/4,z+1/4'
'y+1/4,-x+3/4,-z+1/4'
'-x+1/2,-y,z+1/2'
'x+1/2,y,-z+1/2'
'y+1/4,-x+1/4,z+3/4'
'-y+1/4,x+1/4,-z+3/4'
'x,-y,-z'
'-x,y,z'
'-y+1/4,-x+1/4,-z+3/4'
'y+1/4,x+1/4,z+3/4'
'-x+1/2,y,-z+1/2'
'x+1/2,-y,z+1/2'
'y+1/4,x+3/4,-z+1/4'
'-y+1/4,-x+3/4,z+1/4'
'x+1/2,y+1/2,z+1/2'
'-x+1/2,-y+1/2,-z+1/2'
'-y+3/4,x+1/4,z+3/4'
'y+3/4,-x+1/4,-z+3/4'
'-x,-y+1/2,z'
'x,y+1/2,-z'
'y+3/4,-x+3/4,z+1/4'
'-y+3/4,x+3/4,-z+1/4'
'x+1/2,-y+1/2,-z+1/2'
'-x+1/2,y+1/2,z+1/2'
'-y+3/4,-x+3/4,-z+1/4'
'y+3/4,x+3/4,z+1/4'
'-x,y+1/2,-z'
'x,-y+1/2,z'
'y+3/4,x+1/4,-z+3/4'
'-y+3/4,-x+1/4,z+3/4'
loop_
_atom_site_label
_atom_site_type_symbol
_atom_site_fract_x
_atom_site_fract_y
_atom_site_fract_z
Ag1 Ag 0.0000 0.2500 0.2915
Pt1 Pt 0.0000 0.2500 0.1244
Pt2 Pt 0.0000 0.2500 0.7925
```

Values from the calculation:
DOS(E_F), states/eV per cell: 25.1
Offset from the most stable computed form, meV per atom: 57.3
Calculated density, Mg/m³: 17.01

Here is crystalline LaHo2Mg at its relaxed geometry from Alexandria via LeMat-Bulk. Energies are from PBE.

CIF file:
```
data_LaHo2Mg
_space_group_name_H-M_alt 'F -4 3 m'
_space_group_IT_number 216
_space_group_name_Hall 'F -4 2 3'
_cell_length_a 7.8986
_cell_length_b 7.8986
_cell_length_c 7.8986
_cell_angle_alpha 90.00
_cell_angle_beta 90.00
_cell_angle_gamma 90.00
loop_
_atom_site_label
_atom_site_type_symbol
_atom_site_fract_x
_atom_site_fract_y
_atom_site_fract_z
La1 La 0.0000 0.0000 0.0000
Ho1 Ho 0.0000 0.0000 0.5000
Ho2 Ho 0.2500 0.2500 0.2500
Mg1 Mg 0.2500 0.2500 0.7500
```

Values from the calculation:
DOS(E_F), states/eV per cell: 20.9
Offset from the most stable computed form, meV per atom: 57.8
Calculated density, Mg/m³: 6.65

Here is crystalline Co2HgN at its relaxed geometry from Alexandria via LeMat-Bulk. Energies are from PBE.

CIF file:
```
data_Co2HgN
_space_group_name_H-M_alt 'I -4 2 d'
_space_group_IT_number 122
_space_group_name_Hall 'I -4 2bw'
_cell_length_a 5.9112
_cell_length_b 5.9112
_cell_length_c 6.0574
_cell_angle_alpha 90.00
_cell_angle_beta 90.00
_cell_angle_gamma 90.00
loop_
_atom_site_label
_atom_site_type_symbol
_atom_site_fract_x
_atom_site_fract_y
_atom_site_fract_z
Co1 Co 0.1110 0.2500 0.1250
Hg1 Hg 0.0000 0.0000 0.5000
N1 N 0.0000 0.0000 0.0000
```

Values from the calculation:
Uncorrected formation energy, eV per formula unit: 0.908
DOS(E_F), states/eV per cell: 9.3
Offset from the most stable computed form, meV per atom: 0.0
Calculated density, Mg/m³: 10.43